An optimized crystal structure of Tb2Cu15Ag2, computed with GGA-PBE.

Summary:
VASP energy, eV per atom: -4.12
V, Å³/f.u.: 276
Formation enthalpy at 0 K, kJ per mole of atoms: -9.7

Cell: 6.5540 6.5540 6.5540 Å, 83.08 83.08 83.08°
Atoms (fractional coordinates):
Tb1 0.1529 0.1529 0.1529
Tb2 0.8471 0.8471 0.8471
Cu1 0.0000 0.5000 0.5000
Cu2 0.1514 0.1514 0.6607
Cu3 0.1514 0.6607 0.1514
Cu4 0.1981 0.5000 0.8019
Cu5 0.1981 0.8019 0.5000
Cu6 0.3393 0.8486 0.8486
Cu7 0.5000 0.0000 0.5000
Cu8 0.5000 0.1981 0.8019
Cu9 0.5000 0.5000 0.0000
Cu10 0.5000 0.8019 0.1981
Cu11 0.6607 0.1514 0.1514
Cu12 0.8019 0.1981 0.5000
Cu13 0.8019 0.5000 0.1981
Cu14 0.8486 0.3393 0.8486
Cu15 0.8486 0.8486 0.3393
Ag1 0.3951 0.3951 0.3951
Ag2 0.6049 0.6049 0.6049

***

An optimized crystal structure of SrAl7Ag5, computed with GGA-PBE.

Summary:
VASP energy, eV per atom: -3.39
V, Å³/f.u.: 241
Formation enthalpy at 0 K, kJ per mole of atoms: -14.1

Cell: 7.1610 7.1610 7.1610 Å, 134.57 97.36 99.79°
Atoms (fractional coordinates):
Sr1 0.0000 0.0000 0.0000
Al1 0.2229 0.5033 0.7196
Al2 0.3478 0.9921 0.3557
Al3 0.3540 0.3540 0.0000
Al4 0.6364 0.9921 0.6443
Al5 0.6411 0.6411 0.0000
Al6 0.7715 0.2715 0.5000
Al7 0.7837 0.5033 0.2804
Ag1 0.2116 0.7116 0.5000
Ag2 0.5100 0.0027 0.0097
Ag3 0.5100 0.5003 0.5073
Ag4 0.9930 0.0027 0.4927
Ag5 0.9930 0.5003 0.9903

***

An optimized crystal structure of Sr2Ca3Ac4, computed with GGA-PBE.

Summary:
VASP energy, eV per atom: -2.80
V, Å³/f.u.: 414
Formation enthalpy at 0 K, kJ per mole of atoms: 6.4

Cell: 3.9818 3.9818 30.1506 Å, 90.00 90.00 120.00°
Atoms (fractional coordinates):
Sr1 0.0000 0.0000 0.0000
Sr2 0.0000 0.0000 0.2238
Ca1 0.0000 0.0000 0.7802
Ca2 0.3333 0.6667 0.1125
Ca3 0.3333 0.6667 0.4572
Ac1 0.0000 0.0000 0.3514
Ac2 0.0000 0.0000 0.5657
Ac3 0.3333 0.6667 0.6713
Ac4 0.3333 0.6667 0.8866

***

An optimized crystal structure of KBaOs, computed with GGA-PBE.

Summary:
VASP energy, eV per atom: -3.54
V, Å³/f.u.: 81
Energy above the most stable polymorph in this dataset, meV per atom: 87
Formation enthalpy at 0 K, kJ per mole of atoms: 116.8

Cell: 5.6346 5.6346 2.9368 Å, 90.00 90.00 120.00°
Atoms (fractional coordinates):
K1 0.0000 0.0000 0.0000
Ba1 0.3333 0.6667 0.9923
Os1 0.6667 0.3333 0.4943

***

Question: What is the formation enthalpy at 0 K in the first record?
Answer: -9.7 kJ per mole of atoms